No. 1
# CeCN, relaxed, DFT PBE-GGA
# - Energy relative to the elements, uncorrected: -61 kJ/mol of formula units
# - DOS at the Fermi energy: 1.53 states/eV/f.u.
# - Electronic total energy: -8.040 eV/atom
# - Spin magnetization: 0.00 μB per formula unit
# - Energy above the most stable polymorph in this dataset: 0.474 eV per atom
# - Volume: 12.194 Å³ per atom
data_CeCN
_chemical_formula_sum 'Ce4 C4 N4'
_cell_length_a 6.715
_cell_length_b 2.903
_cell_length_c 7.508
_cell_angle_alpha 90.00
_cell_angle_beta 90.00
_cell_angle_gamma 90.00
_space_group_name_H-M_alt 'P n m a'
_space_group_IT_number 62
_space_group_name_Hall '-P 2ac 2n'
loop_
_atom_site_label
_atom_site_type_symbol
_atom_site_fract_x
_atom_site_fract_y
_atom_site_fract_z
_atom_site_occupancy
Ce1 Ce 0.176 0.250 0.162 1
C1 C 0.031 0.250 0.506 1
N1 N 0.099 0.250 0.850 1

No. 2
# U2PaAs3, relaxed, DFT PBE-GGA
# - DOS at the Fermi energy: 16.64 states/eV/f.u.
# - Electronic total energy: -8.494 eV/atom
# - Spin magnetization: 5.17 μB per formula unit
# - Volume: 24.192 Å³ per atom
# - Energy of formation from the pure elements: -823 meV/atom
data_U2PaAs3
_chemical_formula_sum 'U4 Pa2 As6'
_cell_length_a 4.056
_cell_length_b 5.782
_cell_length_c 12.378
_cell_angle_alpha 90.00
_cell_angle_beta 90.00
_cell_angle_gamma 90.00
_space_group_name_H-M_alt 'I m m m'
_space_group_IT_number 71
_space_group_name_Hall '-I 2 2'
loop_
_atom_site_label
_atom_site_type_symbol
_atom_site_fract_x
_atom_site_fract_y
_atom_site_fract_z
_atom_site_occupancy
U1 U 0.000 0.000 0.167 1
Pa1 Pa 0.000 0.000 0.500 1
As1 As 0.000 0.500 0.167 1
As2 As 0.000 0.500 0.500 1

No. 3
# TcAg3, relaxed, DFT PBE-GGA
# - DOS at the Fermi energy: 2.55 states/eV/f.u.
# - Electronic total energy: -4.243 eV/atom
# - Spin magnetization: 1.00 μB per formula unit
# - Energy above the most stable polymorph in this dataset: 0.176 eV per atom
# - Volume: 17.056 Å³ per atom
# - Energy of formation from the pure elements: 487 meV/atom
data_TcAg3
_chemical_formula_sum 'Tc1 Ag3'
_cell_length_a 2.714
_cell_length_b 4.236
_cell_length_c 5.935
_cell_angle_alpha 90.00
_cell_angle_beta 90.00
_cell_angle_gamma 90.00
_space_group_name_H-M_alt 'P m m m'
_space_group_IT_number 47
_space_group_name_Hall '-P 2 2'
loop_
_atom_site_label
_atom_site_type_symbol
_atom_site_fract_x
_atom_site_fract_y
_atom_site_fract_z
_atom_site_occupancy
Tc1 Tc 0.000 0.000 0.000 1
Ag1 Ag 0.000 0.000 0.500 1
Ag2 Ag 0.500 0.500 0.241 1

No. 4
# Sm2Dy6Er3In, relaxed, DFT PBE-GGA
# - DOS at the Fermi energy: 15.33 states/eV/f.u.
# - Electronic total energy: -4.507 eV/atom
# - Spin magnetization: 0.00 μB per formula unit
# - Volume: 30.586 Å³ per atom
# - Energy of formation from the pure elements: -51 meV/atom
data_Sm2Dy6Er3In
_chemical_formula_sum 'Sm4 Dy12 Er6 In2'
_cell_length_a 6.073
_cell_length_b 10.525
_cell_length_c 11.662
_cell_angle_alpha 90.00
_cell_angle_beta 100.01
_cell_angle_gamma 90.00
_space_group_name_H-M_alt 'C 1 2/m 1'
_space_group_IT_number 12
_space_group_name_Hall '-C 2y'
loop_
_atom_site_label
_atom_site_type_symbol
_atom_site_fract_x
_atom_site_fract_y
_atom_site_fract_z
_atom_site_occupancy
Sm1 Sm 0.000 0.166 0.000 1
Dy1 Dy 0.244 0.500 0.749 1
Dy2 Dy 0.247 0.336 0.250 1
Er1 Er 0.000 0.000 0.500 1
Er2 Er 0.000 0.333 0.500 1
In1 In 0.000 0.500 0.000 1

No. 5
# CaMoPCl2, relaxed, DFT PBE-GGA
# - Energy relative to the elements, uncorrected: 85 kJ/mol of formula units
# - DOS at the Fermi energy: 4.10 states/eV/f.u.
# - Electronic total energy: -4.210 eV/atom
# - Spin magnetization: 3.00 μB per formula unit
# - Energy above the most stable polymorph in this dataset: 0.711 eV per atom
# - Volume: 29.889 Å³ per atom
data_CaMoPCl2
_chemical_formula_sum 'Ca1 Mo1 P1 Cl2'
_cell_length_a 5.016
_cell_length_b 5.016
_cell_length_c 5.941
_cell_angle_alpha 90.00
_cell_angle_beta 90.00
_cell_angle_gamma 90.00
_space_group_name_H-M_alt 'P 4/m m m'
_space_group_IT_number 123
_space_group_name_Hall '-P 4 2'
loop_
_atom_site_label
_atom_site_type_symbol
_atom_site_fract_x
_atom_site_fract_y
_atom_site_fract_z
_atom_site_occupancy
Ca1 Ca 0.000 0.000 0.000 1
Mo1 Mo 0.500 0.500 0.500 1
P1 P 0.000 0.000 0.500 1
Cl1 Cl 0.000 0.500 0.000 1

No. 6
# Tc2AsW, relaxed, DFT PBE-GGA
# - DOS at the Fermi energy: 2.89 states/eV/f.u.
# - Electronic total energy: -9.491 eV/atom
# - Spin magnetization: 0.00 μB per formula unit
# - Volume: 14.930 Å³ per atom
# - Energy of formation from the pure elements: 93 meV/atom
data_Tc2AsW
_chemical_formula_sum 'Tc2 As1 W1'
_cell_length_a 2.956
_cell_length_b 2.956
_cell_length_c 6.833
_cell_angle_alpha 90.00
_cell_angle_beta 90.00
_cell_angle_gamma 90.00
_space_group_name_H-M_alt 'P 4 m m'
_space_group_IT_number 99
_space_group_name_Hall 'P 4 -2'
loop_
_atom_site_label
_atom_site_type_symbol
_atom_site_fract_x
_atom_site_fract_y
_atom_site_fract_z
_atom_site_occupancy
Tc1 Tc 0.000 0.000 0.000 1
Tc2 Tc 0.500 0.500 0.255 1
As1 As 0.500 0.500 0.769 1
W1 W 0.000 0.000 0.522 1

No. 7
# La2Pm4Pr2Mg, relaxed, DFT PBE-GGA
# - DOS at the Fermi energy: 12.73 states/eV/f.u.
# - Electronic total energy: -4.369 eV/atom
# - Spin magnetization: 0.00 μB per formula unit
# - Volume: 34.878 Å³ per atom
# - Energy of formation from the pure elements: 77 meV/atom
data_La2Pm4Pr2Mg
_chemical_formula_sum 'La2 Pm4 Pr2 Mg1'
_cell_length_a 6.582
_cell_length_b 6.628
_cell_length_c 7.728
_cell_angle_alpha 74.57
_cell_angle_beta 75.00
_cell_angle_gamma 85.27
_space_group_name_H-M_alt 'P -1'
_space_group_IT_number 2
_space_group_name_Hall '-P 1'
loop_
_atom_site_label
_atom_site_type_symbol
_atom_site_fract_x
_atom_site_fract_y
_atom_site_fract_z
_atom_site_occupancy
La1 La 0.187 0.125 0.279 1
Pm1 Pm 0.211 0.168 0.809 1
Pm2 Pm 0.321 0.669 0.093 1
Pr1 Pr 0.371 0.704 0.611 1
Mg1 Mg 0.000 0.500 0.500 1

No. 8
# SrAc2O, relaxed, DFT PBE-GGA
# - Energy relative to the elements, uncorrected: -405 kJ/mol of formula units
# - DOS at the Fermi energy: 3.96 states/eV/f.u.
# - Electronic total energy: -4.764 eV/atom
# - Spin magnetization: 0.00 μB per formula unit
# - Volume: 35.363 Å³ per atom
data_SrAc2O
_chemical_formula_sum 'Sr3 Ac6 O3'
_cell_length_a 3.9359
_cell_length_b 3.9359
_cell_length_c 31.6309
_cell_angle_alpha 90.00
_cell_angle_beta 90.00
_cell_angle_gamma 120.00
_space_group_name_H-M_alt 'R -3 m'
_space_group_IT_number 166
_space_group_name_Hall '-R 3 2"'
loop_
_atom_site_label
_atom_site_type_symbol
_atom_site_fract_x
_atom_site_fract_y
_atom_site_fract_z
_atom_site_occupancy
Sr1 Sr 0.0000 0.0000 0.0000 1
Ac1 Ac 0.0000 0.0000 0.1205 1
O1 O 0.0000 0.0000 0.5000 1

No. 9
# TaTcAg2, relaxed, DFT PBE-GGA
# - DOS at the Fermi energy: 2.26 states/eV/f.u.
# - Electronic total energy: -6.571 eV/atom
# - Spin magnetization: 0.00 μB per formula unit
# - Energy above the most stable polymorph in this dataset: 0.230 eV per atom
# - Volume: 16.721 Å³ per atom
# - Energy of formation from the pure elements: 409 meV/atom
data_TaTcAg2
_chemical_formula_sum 'Ta2 Tc2 Ag4'
_cell_length_a 5.380
_cell_length_b 9.069
_cell_length_c 2.742
_cell_angle_alpha 90.00
_cell_angle_beta 90.00
_cell_angle_gamma 90.00
_space_group_name_H-M_alt 'C m m m'
_space_group_IT_number 65
_space_group_name_Hall '-C 2 2'
loop_
_atom_site_label
_atom_site_type_symbol
_atom_site_fract_x
_atom_site_fract_y
_atom_site_fract_z
_atom_site_occupancy
Ta1 Ta 0.000 0.000 0.000 1
Tc1 Tc 0.000 0.500 0.000 1
Ag1 Ag 0.250 0.250 0.500 1